DFT (PBE) results for La8Te4P3Br after structural relaxation.

Lattice parameters (Å, degrees): 8.976 8.976 8.976 58.50 58.50 58.50
Element x y z (fractional)
La (0.224, 0.748, 0.748)
La (0.238, 0.238, 0.238)
La (0.252, 0.252, 0.776)
La (0.252, 0.776, 0.252)
La (0.748, 0.224, 0.748)
La (0.748, 0.748, 0.224)
La (0.762, 0.762, 0.762)
La (0.776, 0.252, 0.252)
Te (0.000, 0.000, 0.000)
Te (0.000, 0.500, 0.500)
Te (0.500, 0.000, 0.500)
Te (0.500, 0.500, 0.000)
P (0.000, 0.000, 0.500)
P (0.000, 0.500, 0.000)
P (0.500, 0.000, 0.000)
Br (0.500, 0.500, 0.500)

Computed properties:
E (eV per cell): -95.86
DOS at the Fermi energy (states/eV/f.u.): 8.94



DFT (PBE) results for La3TePBr after structural relaxation.

Lattice parameters (Å, degrees): 9.057 4.309 10.613 90.00 92.80 90.00
Element x y z (fractional)
La (0.101, 0.250, 0.364)
La (0.144, 0.250, 0.911)
La (0.355, 0.750, 0.634)
La (0.645, 0.250, 0.366)
La (0.856, 0.750, 0.089)
La (0.899, 0.750, 0.636)
Te (0.371, 0.750, 0.328)
Te (0.629, 0.250, 0.672)
P (0.128, 0.250, 0.641)
P (0.872, 0.750, 0.359)
Br (0.372, 0.750, 0.922)
Br (0.628, 0.250, 0.078)

Computed properties:
E (eV per cell): -66.99
DOS at the Fermi energy (states/eV/f.u.): 2.95



DFT (PBE) results for LaTiPBr2 after structural relaxation.

Lattice parameters (Å, degrees): 4.765 4.765 6.986 90.00 90.00 90.00
Element x y z (fractional)
La (0.000, 0.000, 0.000)
Ti (0.000, 0.000, 0.500)
P (0.500, 0.500, 0.000)
Br (0.000, 0.500, 0.500)
Br (0.500, 0.000, 0.500)

Computed properties:
E (eV per cell): -23.11
DOS at the Fermi energy (states/eV/f.u.): 2.35



DFT (PBE) results for La6TlP2Br3 after structural relaxation.

Lattice parameters (Å, degrees): 9.927 9.927 9.048 103.91 103.91 24.93
Element x y z (fractional)
La (0.014, 0.014, 0.263)
La (0.325, 0.325, 0.435)
La (0.331, 0.331, 0.877)
La (0.669, 0.669, 0.123)
La (0.675, 0.675, 0.565)
La (0.986, 0.986, 0.737)
Tl (0.500, 0.500, 0.000)
P (0.170, 0.170, 0.342)
P (0.830, 0.830, 0.658)
Br (0.164, 0.164, 0.835)
Br (0.500, 0.500, 0.500)
Br (0.836, 0.836, 0.165)

Computed properties:
E (eV per cell): -63.65
DOS at the Fermi energy (states/eV/f.u.): 5.71



Number 1: mass density 6034 kg/m³, uncorrected formation energy -1624 meV/atom. Number 2: mass density 5259 kg/m³, uncorrected formation energy -1415 meV/atom. Number 3: mass density 3953 kg/m³, uncorrected formation energy -306 meV/atom. Number 4: mass density 6106 kg/m³, uncorrected formation energy -1324 meV/atom.